Sm12TmIn6 | PBE | relaxed

Summary:
**Theoretical density**: 7.76 Mg/m³
**Total DFT energy (no corrections)**: -4.311 eV per atom
**Energy of formation**: -0.23 eV/atom
**M_tot**: 0.0 μB per cell
**Crystal system**: trigonal

a b c (Å): 8.292 8.292 8.292
angles (deg): 88.91 88.91 88.91
Atoms (fractional coordinates):
1 Sm 0.074 0.383 0.123
2 Sm 0.123 0.074 0.383
3 Sm 0.192 0.564 0.473
4 Sm 0.383 0.123 0.074
5 Sm 0.436 0.527 0.808
6 Sm 0.473 0.192 0.564
7 Sm 0.527 0.808 0.436
8 Sm 0.564 0.473 0.192
9 Sm 0.617 0.877 0.926
10 Sm 0.808 0.436 0.527
11 Sm 0.877 0.926 0.617
12 Sm 0.926 0.617 0.877
13 Tm 0.000 0.000 0.000
14 In 0.123 0.272 0.745
15 In 0.255 0.877 0.728
16 In 0.272 0.745 0.123
17 In 0.728 0.255 0.877
18 In 0.745 0.123 0.272
19 In 0.877 0.728 0.255